The following is a DFT calculation (PBE) of La8Nd2Mg after structural relaxation.

Lattice parameters (Å, degrees): 5.2587 5.2587 14.6499 90.00 90.00 90.00
Fractional positions:
La (0.0000, 0.0000, 0.1789)
La (0.0000, 0.0000, 0.8211)
La (0.0000, 0.5000, 0.0000)
La (0.0000, 0.5000, 0.3565)
La (0.0000, 0.5000, 0.6435)
La (0.5000, 0.0000, 0.0000)
La (0.5000, 0.0000, 0.3565)
La (0.5000, 0.0000, 0.6435)
Nd (0.5000, 0.5000, 0.1836)
Nd (0.5000, 0.5000, 0.8164)
Mg (0.5000, 0.5000, 0.5000)

Properties
E above lowest polymorph = 33.9 meV/atom
Raw total energy = -4.517 eV/atom